(1)
Crystalline Tb2InGe3Pt4 at its relaxed geometry, computed with PBE-GGA.

Output
D(E_F): 0.53 states/eV/atom
crystal system: tetragonal
formation energy: -850 meV/atom

Unit cell a=4.2320 b=4.2320 c=10.9240 alpha=90.00 beta=90.00 gamma=90.00
Atoms (fractional coordinates):
Tb  0.5000  0.0000  0.2380
Tb  0.0000  0.5000  0.7620
In  0.5000  0.5000  0.5000
Ge  0.0000  0.0000  0.5000
Ge  0.5000  0.0000  0.8718
Ge  0.0000  0.5000  0.1282
Pt  0.5000  0.5000  0.0000
Pt  0.0000  0.0000  0.0000
Pt  0.5000  0.0000  0.6518
Pt  0.0000  0.5000  0.3482

***

(2)
Crystalline In2GeTePt at its relaxed geometry, computed with PBE-GGA.

Output
D(E_F): 0.29 states/eV/atom
crystal system: tetragonal
formation energy (no corrections): -0.204 eV per atom

Unit cell a=5.2893 b=5.2893 c=4.8326 alpha=90.00 beta=90.00 gamma=90.00
Atoms (fractional coordinates):
Ge  0.0000  0.0000  0.5000
Te  0.5000  0.5000  0.5000
Pt  0.0000  0.0000  0.0000
In  0.0000  0.5000  0.0000
In  0.5000  0.0000  0.0000

***

no.,total DFT energy (no corrections) (eV/f.u.)
1,-58.52
2,-20.29